[1]
# TaTe2I8

An optimized crystal structure of TaTe2I8 (PBE-GGA, the Alexandria database).

Properties
**Formation energy from raw total energies**: -63 meV per atom
**DOS(E_F)**: 6.9 states/eV per cell
**Spin magnetization**: 0.78 μB per formula unit
**Calculated volume**: 1084.24 Å³/cell
**Uncorrected energy**: -2.84 eV/atom

Cell lengths 14.2173, 9.3672, 8.5458 Å; angles 90.00, 107.69, 90.00 degrees
With the nearest neighbours (Å) after each atom.
Space group C2/m (No. 12)
One atom of each set of equivalent atoms:
Ta (0.0000, 0.0000, 0.0000)  2 I 2.69, 2 Te 2.84
Te (0.1570, 0.0000, 0.2996)  3 I 2.80-2.90, 1 Ta 2.84
I (0.0929, 0.2883, 0.1992)  1 Te 2.90
I (0.1281, 0.0000, 0.8236)  1 Ta 2.69
I (0.1498, 0.5000, 0.7189)  1 Te 2.80

***

[2]
# ZrTi2CuMo

An optimized crystal structure of ZrTi2CuMo (PBE-GGA, the Alexandria database).

Properties
**DOS(E_F)**: 8.4 states/eV per cell
**Spin magnetization**: 0.30 μB per formula unit
**DFT formation energy**: 0.938 eV/atom
**Calculated volume**: 111.10 Å³/cell
**Uncorrected energy**: -6.92 eV/atom

Cell lengths 4.6845, 4.6845, 5.0627 Å; angles 90.00, 90.00, 90.00 degrees
With the nearest neighbours (Å) after each atom.
Space group P4/mmm (No. 123)
One atom of each set of equivalent atoms:
Zr (0.0000, 0.0000, 0.0000)  2 Mo 2.53
Ti (0.0000, 0.5000, 0.5000)  2 Mo 2.34
Cu (0.5000, 0.5000, 0.0000)  4 Zr 3.31, 8 Ti 3.45
Mo (0.0000, 0.0000, 0.5000)  4 Ti 2.34, 2 Zr 2.53

***

[3]
# SrNb3Os

An optimized crystal structure of SrNb3Os (PBE-GGA, the Alexandria database).

Properties
**DOS(E_F)**: 8.0 states/eV per cell
**Offset from the most stable computed form**: 0 meV/atom
**Spin magnetization**: 0.00 μB per formula unit
**DFT formation energy**: 0.823 eV/atom
**Calculated volume**: 124.82 Å³/cell
**Uncorrected energy**: -7.80 eV/atom

Cell lengths 4.9976, 4.9976, 4.9976 Å; angles 90.00, 90.00, 90.00 degrees
With the nearest neighbours (Å) after each atom.
Space group Pm-3m (No. 221)
One atom of each set of equivalent atoms:
Sr (0.0000, 0.0000, 0.0000)  12 Nb 3.53
Nb (0.0000, 0.5000, 0.5000)  2 Os 2.50
Os (0.5000, 0.5000, 0.5000)  6 Nb 2.50

***

[4]
# Co2SiCl

An optimized crystal structure of Co2SiCl (PBE-GGA, the Alexandria database).

Properties
**Formation energy from raw total energies**: -43 meV per atom
**DOS(E_F)**: 6.2 states/eV per cell
**Offset from the most stable computed form**: 85 meV/atom
**Spin magnetization**: 0.98 μB per formula unit
**Calculated volume**: 118.38 Å³/cell
**Uncorrected energy**: -5.41 eV/atom

Cell lengths 6.8626, 2.8441, 6.8319 Å; angles 90.00, 117.40, 90.00 degrees
With the nearest neighbours (Å) after each atom.
Space group C2/m (No. 12)
One atom of each set of equivalent atoms:
Co (0.1303, 0.0000, 0.3227)  3 Si 2.25-2.30, 2 Cl 2.42
Si (0.0000, 0.5000, 0.5000)  6 Co 2.25-2.30
Cl (0.0000, 0.5000, 0.0000)  4 Co 2.42

***

[5]
# Co2ReRh

An optimized crystal structure of Co2ReRh (PBE-GGA, the Alexandria database).

Properties
**DOS(E_F)**: 14.0 states/eV per cell
**Offset from the most stable computed form**: 89 meV/atom
**Spin magnetization**: 3.05 μB per formula unit
**DFT formation energy**: 0.115 eV/atom
**Calculated volume**: 156.56 Å³/cell
**Uncorrected energy**: -8.39 eV/atom

Cell lengths 2.6800, 2.6800, 25.1708 Å; angles 90.00, 90.00, 120.00 degrees
With the nearest neighbours (Å) after each atom.
Space group R3m (No. 160, hexagonal axes)
One atom of each set of equivalent atoms:
Co (0.0000, 0.0000, 0.0000)  9 Co 2.47-2.68, 3 Rh 2.65
Co (0.0000, 0.0000, 0.2569)  9 Co 2.47-2.68, 3 Re 2.63
Re (0.0000, 0.0000, 0.5057)  3 Co 2.63, 6 Re 2.68, 3 Rh 2.68
Rh (0.0000, 0.0000, 0.7520)  3 Co 2.65, 6 Rh 2.68, 3 Re 2.68

***

[6]
# KCuI3

An optimized crystal structure of KCuI3 (PBE-GGA, the Alexandria database).

Properties
**Formation energy from raw total energies**: -568 meV per atom
**DOS(E_F)**: 2.8 states/eV per cell
**Spin magnetization**: 0.00 μB per formula unit
**Calculated volume**: 175.17 Å³/cell
**Uncorrected energy**: -2.54 eV/atom

Cell lengths 5.5952, 5.5952, 5.5952 Å; angles 90.00, 90.00, 90.00 degrees
With the nearest neighbours (Å) after each atom.
Space group Pm-3m (No. 221)
One atom of each set of equivalent atoms:
K (0.0000, 0.0000, 0.0000)  12 I 3.96
Cu (0.5000, 0.5000, 0.5000)  6 I 2.80
I (0.0000, 0.5000, 0.5000)  2 Cu 2.80